# 1
# ZrSiPd PBE-GGA optimized geometry
# - Total energy: -88.694 eV/cell
data_ZrSiPd
_chemical_formula_sum 'Zr4 Si4 Pd4'
_space_group_name_H-M_alt 'P 1'
_space_group_IT_number 1
_space_group_name_Hall 'P 1'
_cell_length_a 6.651
_cell_length_b 3.910
_cell_length_c 7.654
_cell_angle_alpha 90.00
_cell_angle_beta 90.00
_cell_angle_gamma 90.00
loop_
_atom_site_label
_atom_site_fract_x
_atom_site_fract_y
_atom_site_fract_z
_atom_site_occupancy
Zr1 0.027 0.250 0.180 1
Zr2 0.473 0.750 0.680 1
Zr3 0.527 0.250 0.320 1
Zr4 0.973 0.750 0.820 1
Si1 0.239 0.750 0.377 1
Si2 0.261 0.250 0.877 1
Si3 0.739 0.750 0.123 1
Si4 0.761 0.250 0.623 1
Pd1 0.143 0.250 0.561 1
Pd2 0.357 0.750 0.061 1
Pd3 0.643 0.250 0.939 1
Pd4 0.857 0.750 0.439 1


# 2
# ZrSiPd2 PBE-GGA optimized geometry
# - Total energy: -26.620 eV/cell
data_ZrSiPd2
_chemical_formula_sum 'Zr1 Si1 Pd2'
_space_group_name_H-M_alt 'P 1'
_space_group_IT_number 1
_space_group_name_Hall 'P 1'
_cell_length_a 4.509
_cell_length_b 4.509
_cell_length_c 4.509
_cell_angle_alpha 60.00
_cell_angle_beta 60.00
_cell_angle_gamma 60.00
loop_
_atom_site_label
_atom_site_fract_x
_atom_site_fract_y
_atom_site_fract_z
_atom_site_occupancy
Zr1 0.000 0.000 0.000 1
Si1 0.750 0.750 0.750 1
Pd1 0.250 0.250 0.250 1
Pd2 0.500 0.500 0.500 1


# 3
# Zr2SiPd PBE-GGA optimized geometry
# - Total energy: -30.666 eV/cell
data_Zr2SiPd
_chemical_formula_sum 'Zr2 Si1 Pd1'
_space_group_name_H-M_alt 'P 1'
_space_group_IT_number 1
_space_group_name_Hall 'P 1'
_cell_length_a 4.034
_cell_length_b 5.495
_cell_length_c 5.495
_cell_angle_alpha 37.81
_cell_angle_beta 90.00
_cell_angle_gamma 90.00
loop_
_atom_site_label
_atom_site_fract_x
_atom_site_fract_y
_atom_site_fract_z
_atom_site_occupancy
Zr1 0.000 0.000 0.000 1
Zr2 0.500 0.302 0.302 1
Si1 0.500 0.567 0.567 1
Pd1 0.000 0.720 0.720 1


# 4
# ZrSi2Pd PBE-GGA optimized geometry
# - Total energy: -54.261 eV/cell
data_ZrSi2Pd
_chemical_formula_sum 'Zr2 Si4 Pd2'
_space_group_name_H-M_alt 'P 1'
_space_group_IT_number 1
_space_group_name_Hall 'P 1'
_cell_length_a 4.013
_cell_length_b 5.950
_cell_length_c 5.315
_cell_angle_alpha 90.00
_cell_angle_beta 90.00
_cell_angle_gamma 90.00
loop_
_atom_site_label
_atom_site_fract_x
_atom_site_fract_y
_atom_site_fract_z
_atom_site_occupancy
Zr1 0.000 0.088 0.000 1
Zr2 0.500 0.912 0.500 1
Si1 0.000 0.230 0.495 1
Si2 0.000 0.659 0.276 1
Si3 0.500 0.341 0.776 1
Si4 0.500 0.770 0.995 1
Pd1 0.000 0.597 0.775 1
Pd2 0.500 0.403 0.275 1


Question: Look up the total energy of the fourth one.
Answer: -54.261 eV/cell